# PBE LuCuHg2, optimized geometry
# total magnetic moment: 0.00 μB per cell
# ΔH_f (0 K): -0.13 eV/atom
data_LuCuHg2
_cell_length_a 4.394
_cell_length_b 4.394
_cell_length_c 4.395
_cell_angle_alpha 90.00
_cell_angle_beta 90.00
_cell_angle_gamma 90.00
_space_group_name_H-M_alt 'P 4/m m m'
_space_group_IT_number 123
_space_group_name_Hall '-P 4 2'
loop_
_atom_site_label
_atom_site_fract_x
_atom_site_fract_y
_atom_site_fract_z
_atom_site_occupancy
Lu1 0.000 0.000 0.000 1
Cu1 0.500 0.500 0.000 1
Hg1 0.000 0.500 0.500 1